[1]
First-principles (PBE) data for crystalline TlHgIrO6 at its relaxed geometry, as listed in Alexandria via LeMat-Bulk.

abc: 5.6749 5.6749 8.9969
angles: 90.00 90.00 120.00
Sites, in units of the cell vectors:
Tl: 0.3333 0.6667 0.2500
Tl: 0.6667 0.3333 0.7500
Hg: 0.0000 0.0000 0.0000
Hg: 0.0000 0.0000 0.5000
Ir: 0.6667 0.3333 0.2500
Ir: 0.3333 0.6667 0.7500
O: 0.6544 0.6060 0.1292
O: 0.9516 0.3456 0.1292
O: 0.3456 0.9516 0.6292
O: 0.0484 0.6544 0.8708
O: 0.3940 0.3456 0.3708
O: 0.9516 0.6060 0.3708
O: 0.6060 0.9516 0.8708
O: 0.6544 0.0484 0.3708
O: 0.0484 0.3940 0.6292
O: 0.3940 0.0484 0.1292
O: 0.6060 0.6544 0.6292
O: 0.3456 0.3940 0.8708

**Total magnetic moment**: 0.00 μB/atom
**Formation energy without anion corrections**: -3.56 eV/f.u.
**Space group**: P-31c, No. 163


[2]
First-principles (PBE) data for crystalline AcErCrN4 at its relaxed geometry, as listed in Alexandria via LeMat-Bulk.

abc: 5.6050 5.6321 7.0773
angles: 90.00 108.21 90.00
Sites, in units of the cell vectors:
Ac: 0.7180 0.7500 0.9295
Ac: 0.2820 0.2500 0.0705
Er: 0.7963 0.7500 0.4620
Er: 0.2037 0.2500 0.5380
Cr: 0.2422 0.7500 0.3207
Cr: 0.7578 0.2500 0.6793
N: 0.9647 0.4927 0.7288
N: 0.0353 0.9927 0.2712
N: 0.0353 0.5073 0.2712
N: 0.9647 0.0073 0.7288
N: 0.4367 0.7500 0.1680
N: 0.5633 0.2500 0.8320
N: 0.4252 0.7500 0.5621
N: 0.5748 0.2500 0.4379

**Total magnetic moment**: 0.00 μB/atom
**Formation energy without anion corrections**: -7.88 eV/f.u.
**Space group**: P2_1/m, No. 11


[3]
First-principles (PBE) data for crystalline LuTlRh at its relaxed geometry, as listed in Alexandria via LeMat-Bulk.

abc: 4.6449 4.6449 4.6449
angles: 60.00 60.00 60.00
Sites, in units of the cell vectors:
Tl: 0.5000 0.5000 0.5000
Lu: 0.0000 0.0000 0.0000
Rh: 0.2500 0.2500 0.2500

**Total magnetic moment**: 0.00 μB/atom
**E_form**: -0.464 eV per atom
**Space group**: F-43m, No. 216


[4]
First-principles (PBE) data for crystalline Ce4BiTe2As at its relaxed geometry, as listed in Alexandria via LeMat-Bulk.

abc: 4.4345 7.6959 7.7940
angles: 70.82 90.00 90.00
Sites, in units of the cell vectors:
Ce: 0.0000 0.7430 0.7371
Ce: 0.0000 0.2570 0.2629
Ce: 0.5000 0.7326 0.2700
Ce: 0.5000 0.2674 0.7300
Bi: 0.5000 0.5000 0.0000
Te: 0.0000 0.0000 0.0000
Te: 0.5000 0.0000 0.5000
As: 0.0000 0.5000 0.5000

**Total magnetic moment**: 0.53 μB/atom
**Formation energy without anion corrections**: -9.85 eV/f.u.
**Space group**: P2/m, No. 10


In order of appearance, density = 9.17, 7.86, 11.30, 7.27 g/cm³.